A geometry-optimized Ce3Os structure, computed with PBE-GGA.

Output
Total DFT energy (no corrections) in eV per atom: -7.1924
Space group: Fm-3m, No. 225

```
Ce3Os
1.0
0.0000 3.5392 3.5392
3.5392 0.0000 3.5392
3.5392 3.5392 0.0000
Ce Os
3 1
Direct
0.0000 0.0000 0.0000
0.2500 0.2500 0.2500
0.7500 0.7500 0.7500
0.5000 0.5000 0.5000
```